Here is a relaxed VPd2PtAu crystal from the Alexandria database. Energies are from PBE.

abc: 4.883 4.956 4.883
angles: 90.00 90.00 90.00
Last column: magnetic moment on the atom in μB.
Fractional coordinates of all 5 atoms:
Pd1 0.000 0.000 0.500  -0.06
Pt1 0.000 0.500 0.000  0.01
Pd2 0.500 0.000 0.000  -0.04
V1 0.500 0.500 0.500  -0.02
Au1 0.000 0.000 0.000  -0.01

Space-group type: P4/mmm (123)
Theoretical density: 9.215 g/cm3
N(E_F): 11.47 states/eV/cell
Energy of formation: 1514 meV/atom
Crystal system: tetragonal
Total magnetic moment: 0.02 μB per atom



Here is a relaxed BeBi3Te crystal from the Alexandria database. Energies are from PBE.

abc: 5.180 5.180 5.180
angles: 90.00 90.00 90.00
Fractional coordinates of all 5 atoms:
Te1 0.500 0.500 0.500
Bi1 0.000 0.500 0.000
Bi2 0.500 0.000 0.000
Be1 0.000 0.000 0.000
Bi3 0.000 0.000 0.500

Space-group type: Pm-3m (221)
Theoretical density: 9.124 g/cm3
Energy relative to the elements, uncorrected: 0.427 eV/atom
N(E_F): 4.31 states/eV/cell
Energy above the lowest structure with this stoichiometry: 0.0000 eV per atom
Crystal system: cubic
Total magnetic moment: 0.00 μB per atom